# 1
First-principles (PBE) data for Ho3Al2Tl after structural relaxation, as listed in the Alexandria database.

Unit cell a=3.6120 b=3.6120 c=11.2383 alpha=90.00 beta=90.00 gamma=90.00
Last column: nearest neighbours and their distance in Å.
Fractional positions:
Ho 0.0000 0.0000 0.6826  4 Al 3.12, 4 Tl 3.28
Ho 0.0000 0.0000 0.0000  8 Al 3.11
Al 0.5000 0.5000 0.1586  8 Ho 3.11-3.12
Ho 0.0000 0.0000 0.3174  4 Al 3.12, 4 Tl 3.28
Al 0.5000 0.5000 0.8414  8 Ho 3.11-3.12
Tl 0.5000 0.5000 0.5000  8 Ho 3.28, 4 Tl 3.61

Output
Total DFT energy (no corrections) = -4.302 eV per atom
ΔE_f = -371.2 meV per atom
Calculated volume = 146.62 Å³ per cell
Symmetry = P4/mmm, No. 123


# 2
First-principles (PBE) data for Tb2SmRu9 after structural relaxation, as listed in the Alexandria database.

Unit cell a=5.2884 b=5.2884 c=9.2499 alpha=73.39 beta=73.39 gamma=60.00
Last column: nearest neighbours and their distance in Å.
Fractional positions:
Ru 0.9270 0.4123 0.2484  7 Ru 2.57-2.73
Tb 0.8602 0.8602 0.4193  12 Ru 3.04-3.26, 3 Tb 3.36
Ru 0.4123 0.9270 0.2484  7 Ru 2.57-2.73
Ru 0.4123 0.4123 0.2484  7 Ru 2.57-2.73
Tb 0.1398 0.1398 0.5807  12 Ru 3.04-3.26, 3 Tb 3.36
Ru 0.0730 0.5877 0.7516  7 Ru 2.57-2.73
Ru 0.6621 0.6621 0.0138  6 Ru 2.58-2.73
Ru 0.5877 0.5877 0.7516  7 Ru 2.57-2.73
Ru 0.5877 0.0730 0.7516  7 Ru 2.57-2.73
Ru 0.5000 0.5000 0.5000  6 Ru 2.70
Sm 0.0000 0.0000 0.0000  18 Ru 3.06-3.42
Ru 0.3379 0.3379 0.9862  6 Ru 2.58-2.73

Output
Total DFT energy (no corrections) = -8.231 eV per atom
ΔE_f = -109.5 meV per atom
Calculated volume = 211.48 Å³ per cell
Symmetry = R-3m, No. 166


# 3
First-principles (PBE) data for LiHf2Mg after structural relaxation, as listed in the Alexandria database.

Unit cell a=3.1576 b=3.1576 c=10.5292 alpha=81.38 beta=81.38 gamma=60.00
Last column: nearest neighbours and their distance in Å.
Fractional positions:
Hf 0.4224 0.4224 0.7329  9 Hf 3.02-3.16, 3 Li 3.25
Hf 0.8331 0.8331 0.5007  9 Hf 3.02-3.16, 3 Mg 3.25
Mg 0.2530 0.2530 0.2410  3 Li 3.16, 6 Mg 3.16, 3 Hf 3.25
Li 0.0025 0.0025 0.9924  3 Mg 3.16, 6 Li 3.16, 3 Hf 3.25

Output
Total DFT energy (no corrections) = -5.768 eV per atom
ΔE_f = 85.7 meV per atom
Calculated volume = 89.54 Å³ per cell
Symmetry = R3m, No. 160


# 4
First-principles (PBE) data for Pm2Dy3Ho6Mg after structural relaxation, as listed in the Alexandria database.

Unit cell a=6.1052 b=6.1052 c=11.7081 alpha=95.01 beta=95.01 gamma=120.05
Last column: nearest neighbours and their distance in Å.
Fractional positions:
Dy 0.1657 0.8343 0.5000  6 Ho 3.50-3.53, 6 Dy 3.51-3.54
Dy 0.5000 0.5000 0.5000  6 Ho 3.51-3.52, 6 Dy 3.52-3.54
Ho 0.2488 0.2488 0.7481  3 Dy 3.50-3.51, 6 Ho 3.51-3.53, 2 Pm 3.54, 1 Mg 3.54
Pm 0.3338 0.6662 0.0000  3 Pm 3.52-3.53, 3 Mg 3.52-3.53, 6 Ho 3.54
Pm 0.6662 0.3338 0.0000  3 Pm 3.52-3.53, 3 Mg 3.52-3.53, 6 Ho 3.54
Mg 0.0000 0.0000 0.0000  6 Pm 3.52-3.53, 6 Ho 3.53-3.54
Ho 0.5851 0.9169 0.7492  6 Ho 3.51-3.53, 3 Dy 3.52-3.53, 1 Mg 3.53, 2 Pm 3.54
Dy 0.8343 0.1657 0.5000  6 Ho 3.50-3.53, 6 Dy 3.51-3.54
Ho 0.4149 0.0831 0.2508  6 Ho 3.51-3.53, 3 Dy 3.52-3.53, 1 Mg 3.53, 2 Pm 3.54
Ho 0.0831 0.4149 0.2508  6 Ho 3.51-3.53, 3 Dy 3.52-3.53, 1 Mg 3.53, 2 Pm 3.54
Ho 0.9169 0.5851 0.7492  6 Ho 3.51-3.53, 3 Dy 3.52-3.53, 1 Mg 3.53, 2 Pm 3.54
Ho 0.7512 0.7512 0.2519  3 Dy 3.50-3.51, 6 Ho 3.51-3.53, 2 Pm 3.54, 1 Mg 3.54

Output
Total DFT energy (no corrections) = -4.342 eV per atom
ΔE_f = 22.2 meV per atom
Calculated volume = 371.93 Å³ per cell
Symmetry = C2/m, No. 12


# 5
First-principles (PBE) data for AgPCl4 after structural relaxation, as listed in the Alexandria database.

Unit cell a=6.0052 b=6.0052 c=7.0102 alpha=115.36 beta=115.36 gamma=90.00
Last column: nearest neighbours and their distance in Å.
Fractional positions:
Cl 0.8427 0.3985 0.2374  1 P 2.30
Cl 0.1611 0.1573 0.7626  1 P 2.30
Ag 0.7500 0.2500 0.5000  4 Cl 2.60
Cl 0.6015 0.6053 0.7626  1 P 2.30
P 0.5000 0.5000 0.0000  4 Cl 2.30
Cl 0.3947 0.8389 0.2374  1 P 2.30

Output
Total DFT energy (no corrections) = -2.974 eV per atom
Excess energy over the best structure of this formula in the dataset = 0.0000 eV per atom
Formation energy without anion corrections = -366 meV/atom
Calculated volume = 201.15 Å³ per cell
Symmetry = I-4, No. 82


# 6
First-principles (PBE) data for LiYCo2 after structural relaxation, as listed in the Alexandria database.

Unit cell a=3.9427 b=3.9444 c=3.9396 alpha=90.00 beta=90.00 gamma=90.00
Last column: nearest neighbours and their distance in Å.
Fractional positions:
Li 0.5000 0.0000 0.5000  8 Co 2.79, 4 Y 2.79
Co 0.5000 0.5000 0.0000  4 Y 2.79, 4 Li 2.79, 4 Co 2.79
Co 0.0000 0.0000 0.0000  4 Li 2.79, 4 Y 2.79, 4 Co 2.79
Y 0.0000 0.5000 0.5000  8 Co 2.79, 4 Li 2.79

Output
Total DFT energy (no corrections) = -5.439 eV per atom
Excess energy over the best structure of this formula in the dataset = 0.2010 eV per atom
ΔE_f = 208.7 meV per atom
Calculated volume = 61.27 Å³ per cell
Symmetry = P4/mmm, No. 123


# 7
First-principles (PBE) data for HfAl2Cu2 after structural relaxation, as listed in the Alexandria database.

Unit cell a=7.4678 b=7.4678 c=2.7159 alpha=90.00 beta=90.00 gamma=90.00
Last column: nearest neighbours and their distance in Å.
Fractional positions:
Hf 0.0000 0.0000 0.0000  2 Hf 2.72, 4 Al 2.92
Al 0.3687 0.8687 0.0000  6 Cu 2.54-2.61, 3 Al 2.72-2.77
Hf 0.5000 0.5000 0.0000  2 Hf 2.72, 4 Al 2.92
Al 0.6313 0.1313 0.0000  6 Cu 2.54-2.61, 3 Al 2.72-2.77
Al 0.1313 0.3687 0.0000  6 Cu 2.54-2.61, 3 Al 2.72-2.77
Cu 0.1652 0.6652 0.5000  6 Al 2.54-2.61, 2 Cu 2.72
Cu 0.8348 0.3348 0.5000  6 Al 2.54-2.61, 2 Cu 2.72
Cu 0.6652 0.8348 0.5000  6 Al 2.54-2.61, 2 Cu 2.72
Cu 0.3348 0.1652 0.5000  6 Al 2.54-2.61, 2 Cu 2.72
Al 0.8687 0.6313 0.0000  6 Cu 2.54-2.61, 3 Al 2.72-2.77

Output
Total DFT energy (no corrections) = -5.293 eV per atom
Excess energy over the best structure of this formula in the dataset = 0.0773 eV per atom
ΔE_f = -166.6 meV per atom
Calculated volume = 151.46 Å³ per cell
Symmetry = P4/mbm, No. 127


# 8
First-principles (PBE) data for K2NaAu2 after structural relaxation, as listed in the Alexandria database.

Unit cell a=9.4163 b=9.4163 c=3.7008 alpha=90.00 beta=90.00 gamma=90.00
Last column: nearest neighbours and their distance in Å.
Fractional positions:
Au 0.6652 0.8348 0.5000  6 K 3.25-3.38
Na 0.0000 0.0000 0.0000  4 K 3.67, 2 Na 3.70, 8 Au 3.97
Na 0.5000 0.5000 0.0000  4 K 3.67, 2 Na 3.70, 8 Au 3.97
K 0.6338 0.1338 0.0000  6 Au 3.25-3.38, 1 K 3.56
Au 0.1652 0.6652 0.5000  6 K 3.25-3.38
K 0.1338 0.3662 0.0000  6 Au 3.25-3.38, 1 K 3.56
K 0.8662 0.6338 0.0000  6 Au 3.25-3.38, 1 K 3.56
Au 0.3348 0.1652 0.5000  6 K 3.25-3.38
K 0.3662 0.8662 0.0000  6 Au 3.25-3.38, 1 K 3.56
Au 0.8348 0.3348 0.5000  6 K 3.25-3.38

Output
Total DFT energy (no corrections) = -2.173 eV per atom
Excess energy over the best structure of this formula in the dataset = 0.1185 eV per atom
ΔE_f = -159.6 meV per atom
Calculated volume = 328.14 Å³ per cell
Symmetry = P4/mbm, No. 127


# 9
First-principles (PBE) data for AcPrPb2 after structural relaxation, as listed in the Alexandria database.

Unit cell a=4.8750 b=4.6489 c=6.6499 alpha=90.00 beta=111.44 gamma=90.00
Last column: nearest neighbours and their distance in Å.
Fractional positions:
Pb 0.1757 0.5000 0.8919  2 Pb 3.26, 1 Ac 3.35, 4 Pr 3.40
Ac 0.4479 0.5000 0.4332  7 Pb 3.35-3.75
Pr 0.7143 0.0000 0.9690  7 Pb 3.40-3.68
Pb 0.9932 0.0000 0.5238  2 Pb 3.26, 4 Ac 3.41-3.42, 1 Pr 3.43

Output
Total DFT energy (no corrections) = -4.610 eV per atom
ΔE_f = -534.3 meV per atom
Calculated volume = 140.28 Å³ per cell
Symmetry = Pm, No. 6


# 10
First-principles (PBE) data for Er3BeSi4 after structural relaxation, as listed in the Alexandria database.

Unit cell a=4.2653 b=5.5365 c=7.9065 alpha=110.49 beta=105.65 gamma=90.00
Last column: nearest neighbours and their distance in Å.
Fractional positions:
Be 0.5000 0.0000 0.0000  4 Si 2.31
Er 0.8088 0.8088 0.6177  6 Si 2.85-2.95
Si 0.3819 0.1685 0.7638  1 Be 2.31, 1 Si 2.36
Si 0.6181 0.8315 0.2362  1 Be 2.31, 1 Si 2.36
Si 0.3819 0.5953 0.7638  1 Be 2.31, 1 Si 2.36
Si 0.6181 0.4047 0.2362  1 Be 2.31, 1 Si 2.36
Er 0.0000 0.5000 0.0000  8 Si 2.96
Er 0.1912 0.1912 0.3823  6 Si 2.85-2.95

Output
Total DFT energy (no corrections) = -5.318 eV per atom
Formation energy without anion corrections = -430 meV/atom
Calculated volume = 167.48 Å³ per cell
Symmetry = Immm, No. 71


> Which formula does entry 5 have?

AgPCl4


> The highest total DFT energy (no corrections) belongs to which entry?

K2NaAu2


> Which of these has the highest calculated volume?

Pm2Dy3Ho6Mg